Entry 1:
{
  "formula": "Sr2PrI",
  "functional": "PBE-GGA",
  "state": "optimized geometry",
  "raw_formation_energy_mev_per_atom": -478,
  "sg": "P4/mmm, No. 123",
  "m_tot_mub_per_atom": 0.000,
  "relative_energy_kj_per_mol_atoms": 0.0,
  "final_energy_ha_per_atom": -0.10664,
  "lattice_angstrom": [[3.959, 0.000, 0.000], [0.000, 3.959, 0.000], [0.000, 0.000, 10.684]],
  "species": ["Sr", "I", "Pr", "Sr"],
  "frac_coords": [[0.000, 0.000, 0.731], [0.500, 0.500, 0.500], [0.500, 0.500, 0.000], [0.000, 0.000, 0.269]]
}


Entry 2:
{
  "formula": "NaDyInHg",
  "functional": "PBE-GGA",
  "state": "optimized geometry",
  "sg": "F-43m, No. 216",
  "m_tot_mub_per_atom": 0.000,
  "relative_energy_kj_per_mol_atoms": 0.0,
  "final_energy_ha_per_atom": -0.09341,
  "lattice_angstrom": [[-3.580, 1.997, -3.245], [-2.509, -3.119, -3.363], [-5.066, -1.077, 0.714]],
  "species": ["In", "Dy", "Na", "Hg"],
  "frac_coords": [[0.000, 0.000, 0.000], [0.750, 0.750, 0.750], [0.250, 0.250, 0.250], [0.500, 0.500, 0.500]]
}


Entry 3:
{
  "formula": "RbScSn",
  "functional": "PBE-GGA",
  "state": "optimized geometry",
  "sg": "C2/m, No. 12",
  "m_tot_mub_per_atom": 0.000,
  "relative_energy_kj_per_mol_atoms": 12.8,
  "final_energy_ha_per_atom": -0.14637,
  "lattice_angstrom": [[12.339, -0.173, -0.214], [0.593, 5.307, 0.016], [-0.739, 2.012, 4.005]],
  "species": ["Sn", "Sc", "Rb", "Rb", "Sc", "Sn"],
  "frac_coords": [[0.618, 0.045, 0.536], [0.539, 0.699, 0.170], [0.181, 0.697, 0.992], [0.819, 0.303, 0.008], [0.461, 0.301, 0.830], [0.382, 0.955, 0.464]]
}


Entry 4:
{
  "formula": "NiIr2Ru",
  "functional": "PBE-GGA",
  "state": "optimized geometry",
  "sg": "I4/mmm, No. 139",
  "m_tot_mub_per_atom": 0.000,
  "relative_energy_kj_per_mol_atoms": 2.8,
  "final_energy_ha_per_atom": -0.30047,
  "lattice_angstrom": [[4.661, -0.002, 0.000], [1.614, 4.373, 0.000], [-3.138, -2.185, 2.666]],
  "species": ["Ni", "Ir", "Ir", "Ru"],
  "frac_coords": [[0.250, 0.750, 0.500], [0.500, 0.500, 0.000], [0.000, 0.000, 0.000], [0.750, 0.250, 0.500]]
}


Entry 5:
{
  "formula": "HgPtSe2",
  "functional": "PBE-GGA",
  "state": "optimized geometry",
  "raw_formation_energy_mev_per_atom": 405,
  "sg": "P4/mmm, No. 123",
  "m_tot_mub_per_atom": 0.000,
  "relative_energy_kj_per_mol_atoms": 67.3,
  "final_energy_ha_per_atom": -0.10743,
  "lattice_angstrom": [[-1.022, -7.307, 0.131], [7.201, -0.985, 1.274], [2.596, -4.025, 3.583]],
  "species": ["Se", "Se", "Se", "Hg", "Pt", "Hg", "Pt", "Se"],
  "frac_coords": [[0.750, 0.750, 0.000], [0.750, 0.250, 0.000], [0.250, 0.750, 0.000], [0.750, 0.250, 0.500], [0.750, 0.750, 0.500], [0.250, 0.750, 0.500], [0.250, 0.250, 0.500], [0.250, 0.250, 0.000]]
}


Entry 6:
{
  "formula": "Tb4Sm2Ho5",
  "functional": "PBE-GGA",
  "state": "optimized geometry",
  "sg": "P-1, No. 2",
  "m_tot_mub_per_atom": 0.000,
  "relative_energy_kj_per_mol_atoms": 0.0,
  "final_energy_ha_per_atom": -0.16814,
  "lattice_angstrom": [[-0.974, 3.384, 0.184], [-7.156, -3.708, -3.486], [-3.310, -1.560, 11.074]],
  "species": ["Tb", "Tb", "Tb", "Ho", "Sm", "Ho", "Ho", "Sm", "Tb", "Ho", "Ho"],
  "frac_coords": [[0.178, 0.356, 0.073], [0.732, 0.463, 0.355], [0.268, 0.537, 0.645], [0.591, 0.183, 0.542], [0.636, 0.272, 0.813], [0.039, 0.078, 0.283], [0.961, 0.922, 0.717], [0.364, 0.728, 0.187], [0.822, 0.644, 0.927], [0.409, 0.817, 0.458], [0.500, 0.000, 0.000]]
}